Entry 1:
Crystalline SrPr8Sn6 at its relaxed geometry. Source: Alexandria, functional PBE-GGA.

## Properties
For the volume, the calculation gives 523.44 Å³/cell.

```
SrPr8Sn6
1.0
-8.681 2.224 -3.355
-6.090 -6.947 -2.493
-7.325 -1.675 4.198
Pr Sn Sr
8 6 1
Direct
0.230 0.899 0.300
0.770 0.101 0.700
0.571 0.230 0.300
0.101 0.429 0.700
0.333 0.333 0.001
0.667 0.667 0.999
0.429 0.770 0.700
0.899 0.571 0.300
0.930 0.268 0.211
0.070 0.732 0.789
0.268 0.590 0.211
0.410 0.070 0.789
0.732 0.410 0.789
0.590 0.930 0.211
0.000 0.000 0.000
```


Entry 2:
Crystalline GdPaCuIr at its relaxed geometry. Source: Alexandria, functional PBE-GGA.

## Properties
For the volume, the calculation gives 83.37 Å³/cell.

```
GdPaCuIr
1.0
-3.369 -0.579 3.516
0.119 -3.967 2.880
1.278 0.431 4.714
Pa Cu Ir Gd
1 1 1 1
Direct
0.500 0.500 0.500
0.250 0.250 0.250
0.750 0.750 0.750
0.000 0.000 0.000
```


Listing energy of formation for the structures above in their given order: -55.9; -34.4 kJ/mol of atoms.